Below is a relaxed YAl4Ir2 crystal, with properties calculated at the PBE-GGA level.

- VASP energy: -6.40 eV per atom
- DFT formation energy: -18.6 kcal/mol of atoms
- Magnetization: 0.00 μB/f.u.
- Fermi-level density of states: 0.56 states/eV/atom

Lattice parameters (Å, degrees): 17.196 4.266 6.611 90.00 90.00 90.00
Space group Pnma (No. 62)
Asymmetric unit:
1 Y 0.140 0.250 0.017
2 Al 0.033 0.750 0.849
3 Al 0.069 0.250 0.493
4 Al 0.187 0.750 0.325
5 Al 0.194 0.750 0.729
6 Ir 0.038 0.750 0.244
7 Ir 0.215 0.250 0.530

=====

Below is a relaxed Y4AlIr crystal, with properties calculated at the PBE-GGA level.

- VASP energy: -6.95 eV per atom
- DFT formation energy: -12.4 kcal/mol of atoms
- ΔE to the lowest computed polymorph: 0.000 eV/atom
- Magnetization: 0.00 μB/f.u.
- Fermi-level density of states: 0.60 states/eV/atom

Lattice parameters (Å, degrees): 13.550 13.550 13.550 90.00 90.00 90.00
Space group F-43m (No. 216)
Asymmetric unit:
1 Y 0.000 0.000 0.189
2 Y 0.054 0.250 0.750
3 Y 0.102 0.102 0.398
4 Al 0.172 0.172 0.172
5 Ir 0.109 0.109 0.609